P) VASP calculation (PBE) on an optimized crystal structure of Zn3RuF.

Computed properties:
calculated volume: 72.0 Å³/cell

```
data_Zn3RuF
_symmetry_space_group_name_H-M 'P m -3 m'
_symmetry_Int_Tables_number 221
_symmetry_space_group_name_Hall '-P 4 2 3'
_cell_length_a 4.160
_cell_length_b 4.160
_cell_length_c 4.160
_cell_angle_alpha 90.00
_cell_angle_beta 90.00
_cell_angle_gamma 90.00
loop_
_atom_site_label
_atom_site_type_symbol
_atom_site_fract_x
_atom_site_fract_y
_atom_site_fract_z
Zn1 Zn 0.000 0.000 0.500
Ru1 Ru 0.500 0.500 0.500
F1 F 0.000 0.000 0.000
```

Q) VASP calculation (PBE) on an optimized crystal structure of Zn3RuF.

Computed properties:
calculated volume: 112.4 Å³/cell

```
data_Zn3RuF
_symmetry_space_group_name_H-M 'P m -3 m'
_symmetry_Int_Tables_number 221
_symmetry_space_group_name_Hall '-P 4 2 3'
_cell_length_a 4.826
_cell_length_b 4.826
_cell_length_c 4.826
_cell_angle_alpha 90.00
_cell_angle_beta 90.00
_cell_angle_gamma 90.00
loop_
_atom_site_label
_atom_site_type_symbol
_atom_site_fract_x
_atom_site_fract_y
_atom_site_fract_z
Zn1 Zn 0.000 0.000 0.500
Ru1 Ru 0.000 0.000 0.000
F1 F 0.500 0.500 0.500
```

P) is preferred energetically. Next in line: 404 meV per atom higher.

P) VASP calculation (PBE) on an optimized crystal structure of ZnRu3F.

Computed properties:
calculated volume: 72.3 Å³/cell

```
data_ZnRu3F
_symmetry_space_group_name_H-M 'P m -3 m'
_symmetry_Int_Tables_number 221
_symmetry_space_group_name_Hall '-P 4 2 3'
_cell_length_a 4.166
_cell_length_b 4.166
_cell_length_c 4.166
_cell_angle_alpha 90.00
_cell_angle_beta 90.00
_cell_angle_gamma 90.00
loop_
_atom_site_label
_atom_site_type_symbol
_atom_site_fract_x
_atom_site_fract_y
_atom_site_fract_z
Zn1 Zn 0.000 0.000 0.000
Ru1 Ru 0.000 0.500 0.500
F1 F 0.500 0.500 0.500
```

Q) VASP calculation (PBE) on an optimized crystal structure of ZnRu3F.

Computed properties:
calculated volume: 101.3 Å³/cell

```
data_ZnRu3F
_symmetry_space_group_name_H-M 'P m -3 m'
_symmetry_Int_Tables_number 221
_symmetry_space_group_name_Hall '-P 4 2 3'
_cell_length_a 4.662
_cell_length_b 4.662
_cell_length_c 4.662
_cell_angle_alpha 90.00
_cell_angle_beta 90.00
_cell_angle_gamma 90.00
loop_
_atom_site_label
_atom_site_type_symbol
_atom_site_fract_x
_atom_site_fract_y
_atom_site_fract_z
Zn1 Zn 0.000 0.000 0.000
Ru1 Ru 0.000 0.000 0.500
F1 F 0.500 0.500 0.500
```

P) is preferred energetically. Next in line: 749 meV per atom higher.

P) VASP calculation (PBE) on an optimized crystal structure of ZrRu3F.

Computed properties:
calculated volume: 116.3 Å³/cell

```
data_ZrRu3F
_symmetry_space_group_name_H-M 'P m -3 m'
_symmetry_Int_Tables_number 221
_symmetry_space_group_name_Hall '-P 4 2 3'
_cell_length_a 4.881
_cell_length_b 4.881
_cell_length_c 4.881
_cell_angle_alpha 90.00
_cell_angle_beta 90.00
_cell_angle_gamma 90.00
loop_
_atom_site_label
_atom_site_type_symbol
_atom_site_fract_x
_atom_site_fract_y
_atom_site_fract_z
Zr1 Zr 0.000 0.000 0.000
Ru1 Ru 0.000 0.000 0.500
F1 F 0.500 0.500 0.500
```

Q) VASP calculation (PBE) on an optimized crystal structure of ZrRu3F.

Computed properties:
calculated volume: 76.1 Å³/cell

```
data_ZrRu3F
_symmetry_space_group_name_H-M 'P m -3 m'
_symmetry_Int_Tables_number 221
_symmetry_space_group_name_Hall '-P 4 2 3'
_cell_length_a 4.238
_cell_length_b 4.238
_cell_length_c 4.238
_cell_angle_alpha 90.00
_cell_angle_beta 90.00
_cell_angle_gamma 90.00
loop_
_atom_site_label
_atom_site_type_symbol
_atom_site_fract_x
_atom_site_fract_y
_atom_site_fract_z
Zr1 Zr 0.000 0.000 0.000
Ru1 Ru 0.000 0.500 0.500
F1 F 0.500 0.500 0.500
```

Q) is preferred energetically. Next in line: 1285 meV per atom higher.

P) VASP calculation (PBE) on an optimized crystal structure of ZrRuF2.

Computed properties:
calculated volume: 213.3 Å³/cell

```
data_ZrRuF2
_symmetry_space_group_name_H-M 'I -4 2 d'
_symmetry_Int_Tables_number 122
_symmetry_space_group_name_Hall 'I -4 2bw'
_cell_length_a 3.714
_cell_length_b 3.714
_cell_length_c 15.467
_cell_angle_alpha 90.00
_cell_angle_beta 90.00
_cell_angle_gamma 90.00
loop_
_atom_site_label
_atom_site_type_symbol
_atom_site_fract_x
_atom_site_fract_y
_atom_site_fract_z
Zr1 Zr 0.000 0.000 0.000
Ru1 Ru 0.000 0.000 0.500
F1 F 0.230 0.250 0.125
```

Q) VASP calculation (PBE) on an optimized crystal structure of ZrRuF2.

Computed properties:
calculated volume: 156.3 Å³/cell

```
data_ZrRuF2
_symmetry_space_group_name_H-M 'R -3 m'
_symmetry_Int_Tables_number 166
_symmetry_space_group_name_Hall '-R 3 2"'
_cell_length_a 2.8252
_cell_length_b 2.8252
_cell_length_c 22.6133
_cell_angle_alpha 90.00
_cell_angle_beta 90.00
_cell_angle_gamma 120.00
loop_
_atom_site_label
_atom_site_type_symbol
_atom_site_fract_x
_atom_site_fract_y
_atom_site_fract_z
Zr1 Zr 0.0000 0.0000 0.0000
Ru1 Ru 0.0000 0.0000 0.5000
F1 F 0.0000 0.0000 0.4047
```

P) is preferred energetically. Next in line: 108 meV per atom higher.

P) VASP calculation (PBE) on an optimized crystal structure of ZrRuF2.

Computed properties:
calculated volume: 212.3 Å³/cell

```
data_ZrRuF2
_symmetry_space_group_name_H-M 'R -3 m'
_symmetry_Int_Tables_number 166
_symmetry_space_group_name_Hall '-R 3 2"'
_cell_length_a 3.0023
_cell_length_b 3.0023
_cell_length_c 27.1992
_cell_angle_alpha 90.00
_cell_angle_beta 90.00
_cell_angle_gamma 120.00
loop_
_atom_site_label
_atom_site_type_symbol
_atom_site_fract_x
_atom_site_fract_y
_atom_site_fract_z
Zr1 Zr 0.0000 0.0000 0.0000
Ru1 Ru 0.0000 0.0000 0.5000
F1 F 0.0000 0.0000 0.0730
```

Q) VASP calculation (PBE) on an optimized crystal structure of ZrRuF2.

Computed properties:
calculated volume: 218.2 Å³/cell

```
data_ZrRuF2
_symmetry_space_group_name_H-M 'F m -3 m'
_symmetry_Int_Tables_number 225
_symmetry_space_group_name_Hall '-F 4 2 3'
_cell_length_a 6.020
_cell_length_b 6.020
_cell_length_c 6.020
_cell_angle_alpha 90.00
_cell_angle_beta 90.00
_cell_angle_gamma 90.00
loop_
_atom_site_label
_atom_site_type_symbol
_atom_site_fract_x
_atom_site_fract_y
_atom_site_fract_z
Zr1 Zr 0.000 0.000 0.000
Ru1 Ru 0.000 0.000 0.500
F1 F 0.250 0.250 0.250
```

P) is preferred energetically. Next in line: 200 meV per atom higher.

P) VASP calculation (PBE) on an optimized crystal structure of ZrRuF3.

Computed properties:
calculated volume: 79.1 Å³/cell

```
data_ZrRuF3
_symmetry_space_group_name_H-M 'P m -3 m'
_symmetry_Int_Tables_number 221
_symmetry_space_group_name_Hall '-P 4 2 3'
_cell_length_a 4.292
_cell_length_b 4.292
_cell_length_c 4.292
_cell_angle_alpha 90.00
_cell_angle_beta 90.00
_cell_angle_gamma 90.00
loop_
_atom_site_label
_atom_site_type_symbol
_atom_site_fract_x
_atom_site_fract_y
_atom_site_fract_z
Zr1 Zr 0.000 0.000 0.000
Ru1 Ru 0.500 0.500 0.500
F1 F 0.000 0.000 0.500
```

Q) VASP calculation (PBE) on an optimized crystal structure of ZrRuF3.

Computed properties:
calculated volume: 74.8 Å³/cell

```
data_ZrRuF3
_symmetry_space_group_name_H-M 'P m -3 m'
_symmetry_Int_Tables_number 221
_symmetry_space_group_name_Hall '-P 4 2 3'
_cell_length_a 4.214
_cell_length_b 4.214
_cell_length_c 4.214
_cell_angle_alpha 90.00
_cell_angle_beta 90.00
_cell_angle_gamma 90.00
loop_
_atom_site_label
_atom_site_type_symbol
_atom_site_fract_x
_atom_site_fract_y
_atom_site_fract_z
Zr1 Zr 0.000 0.000 0.000
Ru1 Ru 0.500 0.500 0.500
F1 F 0.000 0.500 0.500
```

P) is preferred energetically. Next in line: 827 meV per atom higher.

P) VASP calculation (PBE) on an optimized crystal structure of Zr3RuF.

Computed properties:
calculated volume: 89.3 Å³/cell

```
data_Zr3RuF
_symmetry_space_group_name_H-M 'P m -3 m'
_symmetry_Int_Tables_number 221
_symmetry_space_group_name_Hall '-P 4 2 3'
_cell_length_a 4.471
_cell_length_b 4.471
_cell_length_c 4.471
_cell_angle_alpha 90.00
_cell_angle_beta 90.00
_cell_angle_gamma 90.00
loop_
_atom_site_label
_atom_site_type_symbol
_atom_site_fract_x
_atom_site_fract_y
_atom_site_fract_z
Zr1 Zr 0.000 0.000 0.500
Ru1 Ru 0.500 0.500 0.500
F1 F 0.000 0.000 0.000
```

Q) VASP calculation (PBE) on an optimized crystal structure of Zr3RuF.

Computed properties:
calculated volume: 129.0 Å³/cell

```
data_Zr3RuF
_symmetry_space_group_name_H-M 'P m -3 m'
_symmetry_Int_Tables_number 221
_symmetry_space_group_name_Hall '-P 4 2 3'
_cell_length_a 5.052
_cell_length_b 5.052
_cell_length_c 5.052
_cell_angle_alpha 90.00
_cell_angle_beta 90.00
_cell_angle_gamma 90.00
loop_
_atom_site_label
_atom_site_type_symbol
_atom_site_fract_x
_atom_site_fract_y
_atom_site_fract_z
Zr1 Zr 0.000 0.000 0.500
Ru1 Ru 0.000 0.000 0.000
F1 F 0.500 0.500 0.500
```

P) is preferred energetically. Next in line: 649 meV per atom higher.

P) VASP calculation (PBE) on an optimized crystal structure of ZrRu2F.

Computed properties:
calculated volume: 252.0 Å³/cell

```
data_ZrRu2F
_symmetry_space_group_name_H-M 'I -4 2 d'
_symmetry_Int_Tables_number 122
_symmetry_space_group_name_Hall 'I -4 2bw'
_cell_length_a 7.406
_cell_length_b 7.406
_cell_length_c 4.595
_cell_angle_alpha 90.00
_cell_angle_beta 90.00
_cell_angle_gamma 90.00
loop_
_atom_site_label
_atom_site_type_symbol
_atom_site_fract_x
_atom_site_fract_y
_atom_site_fract_z
Zr1 Zr 0.000 0.000 0.000
Ru1 Ru 0.196 0.250 0.625
F1 F 0.000 0.000 0.500
```

Q) VASP calculation (PBE) on an optimized crystal structure of ZrRu2F.

Computed properties:
calculated volume: 244.2 Å³/cell

```
data_ZrRu2F
_symmetry_space_group_name_H-M 'F m -3 m'
_symmetry_Int_Tables_number 225
_symmetry_space_group_name_Hall '-F 4 2 3'
_cell_length_a 6.250
_cell_length_b 6.250
_cell_length_c 6.250
_cell_angle_alpha 90.00
_cell_angle_beta 90.00
_cell_angle_gamma 90.00
loop_
_atom_site_label
_atom_site_type_symbol
_atom_site_fract_x
_atom_site_fract_y
_atom_site_fract_z
Zr1 Zr 0.000 0.000 0.000
Ru1 Ru 0.250 0.250 0.250
F1 F 0.000 0.000 0.500
```

P) is preferred energetically. Next in line: 267 meV per atom higher.

P) VASP calculation (PBE) on an optimized crystal structure of SbSF.

Computed properties:
calculated volume: 152.0 Å³/cell

```
data_SbSF
_symmetry_space_group_name_H-M 'P -1'
_symmetry_Int_Tables_number 2
_symmetry_space_group_name_Hall '-P 1'
_cell_length_a 4.064
_cell_length_b 5.654
_cell_length_c 7.117
_cell_angle_alpha 68.52
_cell_angle_beta 88.74
_cell_angle_gamma 86.99
loop_
_atom_site_label
_atom_site_type_symbol
_atom_site_fract_x
_atom_site_fract_y
_atom_site_fract_z
Sb1 Sb 0.181 0.227 0.201
S1 S 0.202 0.704 0.089
F1 F 0.206 0.770 0.614
```

Q) VASP calculation (PBE) on an optimized crystal structure of SbSF.

Computed properties:
calculated volume: 343.4 Å³/cell

```
data_SbSF
_symmetry_space_group_name_H-M 'C 1 2/m 1'
_symmetry_Int_Tables_number 12
_symmetry_space_group_name_Hall '-C 2y'
_cell_length_a 19.030
_cell_length_b 3.591
_cell_length_c 5.032
_cell_angle_alpha 90.00
_cell_angle_beta 93.01
_cell_angle_gamma 90.00
loop_
_atom_site_label
_atom_site_type_symbol
_atom_site_fract_x
_atom_site_fract_y
_atom_site_fract_z
Sb1 Sb 0.172 0.000 0.235
S1 S 0.085 0.500 0.269
F1 F 0.199 0.000 0.629
```

P) is preferred energetically. Next in line: 10 meV per atom higher.

P) VASP calculation (PBE) on an optimized crystal structure of SbSF.

Computed properties:
calculated volume: 113.4 Å³/cell

```
data_SbSF
_symmetry_space_group_name_H-M 'I 4 m m'
_symmetry_Int_Tables_number 107
_symmetry_space_group_name_Hall 'I 4 -2'
_cell_length_a 3.340
_cell_length_b 3.340
_cell_length_c 10.165
_cell_angle_alpha 90.00
_cell_angle_beta 90.00
_cell_angle_gamma 90.00
loop_
_atom_site_label
_atom_site_type_symbol
_atom_site_fract_x
_atom_site_fract_y
_atom_site_fract_z
Sb1 Sb 0.000 0.000 0.000
S1 S 0.000 0.000 0.640
F1 F 0.000 0.000 0.369
```

Q) VASP calculation (PBE) on an optimized crystal structure of SbSF.

Computed properties:
calculated volume: 326.1 Å³/cell

```
data_SbSF
_symmetry_space_group_name_H-M 'P n n m'
_symmetry_Int_Tables_number 58
_symmetry_space_group_name_Hall '-P 2 2n'
_cell_length_a 4.645
_cell_length_b 19.727
_cell_length_c 3.559
_cell_angle_alpha 90.00
_cell_angle_beta 90.00
_cell_angle_gamma 90.00
loop_
_atom_site_label
_atom_site_type_symbol
_atom_site_fract_x
_atom_site_fract_y
_atom_site_fract_z
Sb1 Sb 0.209 0.098 0.000
S1 S 0.206 0.183 0.500
F1 F 0.147 0.414 0.500
```

Q) is preferred energetically. Next in line: 391 meV per atom higher.

P) VASP calculation (PBE) on an optimized crystal structure of SbSF2.

Computed properties:
calculated volume: 204.6 Å³/cell

```
data_SbSF2
_symmetry_space_group_name_H-M 'R -3 m'
_symmetry_Int_Tables_number 166
_symmetry_space_group_name_Hall '-R 3 2"'
_cell_length_a 3.1031
_cell_length_b 3.1031
_cell_length_c 24.5297
_cell_angle_alpha 90.00
_cell_angle_beta 90.00
_cell_angle_gamma 120.00
loop_
_atom_site_label
_atom_site_type_symbol
_atom_site_fract_x
_atom_site_fract_y
_atom_site_fract_z
Sb1 Sb 0.0000 0.0000 0.0000
S1 S 0.0000 0.0000 0.5000
F1 F 0.0000 0.0000 0.4243
```

Q) VASP calculation (PBE) on an optimized crystal structure of SbSF2.

Computed properties:
calculated volume: 264.5 Å³/cell

```
data_SbSF2
_symmetry_space_group_name_H-M 'I -4 2 d'
_symmetry_Int_Tables_number 122
_symmetry_space_group_name_Hall 'I -4 2bw'
_cell_length_a 4.078
_cell_length_b 4.078
_cell_length_c 15.910
_cell_angle_alpha 90.00
_cell_angle_beta 90.00
_cell_angle_gamma 90.00
loop_
_atom_site_label
_atom_site_type_symbol
_atom_site_fract_x
_atom_site_fract_y
_atom_site_fract_z
Sb1 Sb 0.000 0.000 0.000
S1 S 0.000 0.000 0.500
F1 F 0.175 0.250 0.125
```

Q) is preferred energetically. Next in line: 341 meV per atom higher.

P) VASP calculation (PBE) on an optimized crystal structure of SbSF2.

Computed properties:
calculated volume: 376.4 Å³/cell

```
data_SbSF2
_symmetry_space_group_name_H-M 'P 1 21/c 1'
_symmetry_Int_Tables_number 14
_symmetry_space_group_name_Hall '-P 2ybc'
_cell_length_a 5.754
_cell_length_b 6.495
_cell_length_c 11.360
_cell_angle_alpha 90.00
_cell_angle_beta 117.58
_cell_angle_gamma 90.00
loop_
_atom_site_label
_atom_site_type_symbol
_atom_site_fract_x
_atom_site_fract_y
_atom_site_fract_z
Sb1 Sb 0.149 0.036 0.382
S1 S 0.118 0.629 0.685
F1 F 0.131 0.123 0.601
F2 F 0.412 0.665 0.023
```

Q) VASP calculation (PBE) on an optimized crystal structure of SbSF2.

Computed properties:
calculated volume: 233.4 Å³/cell

```
data_SbSF2
_symmetry_space_group_name_H-M 'F m -3 m'
_symmetry_Int_Tables_number 225
_symmetry_space_group_name_Hall '-F 4 2 3'
_cell_length_a 6.157
_cell_length_b 6.157
_cell_length_c 6.157
_cell_angle_alpha 90.00
_cell_angle_beta 90.00
_cell_angle_gamma 90.00
loop_
_atom_site_label
_atom_site_type_symbol
_atom_site_fract_x
_atom_site_fract_y
_atom_site_fract_z
Sb1 Sb 0.000 0.000 0.000
S1 S 0.000 0.000 0.500
F1 F 0.250 0.250 0.250
```

R) VASP calculation (PBE) on an optimized crystal structure of SbSF2.

Computed properties:
calculated volume: 232.4 Å³/cell

```
data_SbSF2
_symmetry_space_group_name_H-M 'R -3 m'
_symmetry_Int_Tables_number 166
_symmetry_space_group_name_Hall '-R 3 2"'
_cell_length_a 3.0630
_cell_length_b 3.0630
_cell_length_c 28.6053
_cell_angle_alpha 90.00
_cell_angle_beta 90.00
_cell_angle_gamma 120.00
loop_
_atom_site_label
_atom_site_type_symbol
_atom_site_fract_x
_atom_site_fract_y
_atom_site_fract_z
Sb1 Sb 0.0000 0.0000 0.0000
S1 S 0.0000 0.0000 0.5000
F1 F 0.0000 0.0000 0.0698
```

P) is preferred energetically. Next in line: 638 meV per atom higher.